Crystalline PrBeO3 at its relaxed geometry. Source: the Open Quantum Materials Database, functional PBE.

Computed properties:
VASP energy: -6.90 eV per atom
SG: R-3 (148)
crystal system: trigonal

a b c (Å): 5.725 5.725 5.725
angles (deg): 56.71 56.71 56.71
Positions (direct):
Pr 0.126 0.126 0.126
Pr 0.874 0.874 0.874
Be 0.401 0.401 0.401
Be 0.599 0.599 0.599
O 0.101 0.655 0.499
O 0.345 0.501 0.899
O 0.499 0.101 0.655
O 0.501 0.899 0.345
O 0.655 0.499 0.101
O 0.899 0.345 0.501